Density functional theory data (PBE) for Ac3Ga4Si after structural relaxation.

Cell: 8.483 8.483 8.483 Å, 145.79 136.28 56.65°
Sites, in units of the cell vectors:
Ac1 0.000 0.000 0.000
Ac2 0.311 0.811 0.500
Ac3 0.689 0.189 0.500
Ga1 0.093 0.383 0.710
Ga2 0.328 0.617 0.710
Ga3 0.672 0.383 0.290
Ga4 0.907 0.617 0.290
Si1 0.500 0.500 0.000

Calculated values
Crystal system   orthorhombic
Calculated volume   235.4 Å³ per cell
E_tot   -4.06 eV/atom
Total magnetic moment   0.00 μB/f.u.



Density functional theory data (PBE) for Ac2GaSi after structural relaxation.

Cell: 5.490 5.490 5.490 Å, 60.00 60.00 60.00°
Sites, in units of the cell vectors:
Ac1 0.250 0.250 0.250
Ac2 0.750 0.750 0.750
Ga1 0.000 0.000 0.000
Si1 0.500 0.500 0.500

Calculated values
Crystal system   cubic
Calculated volume   117.0 Å³ per cell
E_tot   -4.54 eV/atom
Total magnetic moment   0.00 μB/f.u.



Density functional theory data (PBE) for AcSmGaSi after structural relaxation.

Cell: 5.316 5.316 5.316 Å, 60.00 60.00 60.00°
Sites, in units of the cell vectors:
Ac1 0.000 0.000 0.000
Sm1 0.500 0.500 0.500
Ga1 0.250 0.250 0.250
Si1 0.750 0.750 0.750

Calculated values
Crystal system   cubic
Calculated volume   106.2 Å³ per cell
Total magnetic moment   0.00 μB/f.u.
Energy relative to the lowest polymorph listed for this composition   20.38 kJ/mol of atoms



Density functional theory data (PBE) for AcSmGaSi after structural relaxation.

Cell: 4.113 6.246 6.246 Å, 42.51 90.00 90.00°
Sites, in units of the cell vectors:
Ac1 0.000 0.000 0.000
Sm1 0.500 0.283 0.283
Ga1 0.500 0.586 0.586
Si1 0.000 0.721 0.721

Calculated values
Crystal system   orthorhombic
Calculated volume   108.4 Å³ per cell
Total magnetic moment   0.11 μB/f.u.
Energy relative to the lowest polymorph listed for this composition   0.00 kJ/mol of atoms



Density functional theory data (PBE) for SrAcGaSi after structural relaxation.

Cell: 4.233 6.346 6.346 Å, 44.06 90.00 90.00°
Sites, in units of the cell vectors:
Sr1 0.000 0.000 0.000
Ac1 0.500 0.279 0.279
Ga1 0.500 0.574 0.574
Si1 0.000 0.707 0.707

Calculated values
Crystal system   orthorhombic
Calculated volume   118.5 Å³ per cell
Total magnetic moment   0.00 μB/f.u.
Energy relative to the lowest polymorph listed for this composition   0.00 kJ/mol of atoms



Density functional theory data (PBE) for SrAcGaSi after structural relaxation.

Cell: 5.465 5.465 5.465 Å, 60.00 60.00 60.00°
Sites, in units of the cell vectors:
Sr1 0.000 0.000 0.000
Ac1 0.500 0.500 0.500
Ga1 0.750 0.750 0.750
Si1 0.250 0.250 0.250

Calculated values
Crystal system   cubic
Calculated volume   115.4 Å³ per cell
Total magnetic moment   0.00 μB/f.u.
Energy relative to the lowest polymorph listed for this composition   18.37 kJ/mol of atoms



Density functional theory data (PBE) for AcGaSiTc2 after structural relaxation.

Cell: 6.374 6.374 5.956 Å, 90.00 90.00 123.74°
Sites, in units of the cell vectors:
Ac1 0.241 0.759 0.750
Ac2 0.759 0.241 0.250
Ga1 0.113 0.887 0.250
Ga2 0.887 0.113 0.750
Si1 0.365 0.635 0.250
Si2 0.635 0.365 0.750
Tc1 0.288 0.288 0.000
Tc2 0.288 0.288 0.500
Tc3 0.712 0.712 0.000
Tc4 0.712 0.712 0.500

Calculated values
Crystal system   orthorhombic
Calculated volume   201.2 Å³ per cell
E_tot   -6.99 eV/atom
Total magnetic moment   0.00 μB/f.u.



Density functional theory data (PBE) for AcGa2SiTc2 after structural relaxation.

Cell: 4.544 4.544 5.937 Å, 90.00 90.00 90.00°
Sites, in units of the cell vectors:
Ac1 0.000 0.000 0.000
Ga1 0.500 0.500 0.250
Ga2 0.500 0.500 0.750
Si1 0.000 0.000 0.500
Tc1 0.000 0.500 0.500
Tc2 0.500 0.000 0.500

Calculated values
Crystal system   tetragonal
Calculated volume   122.6 Å³ per cell
E_tot   -6.36 eV/atom
Total magnetic moment   0.00 μB/f.u.



Density functional theory data (PBE) for AcTmGaSi after structural relaxation.

Cell: 5.235 5.235 5.235 Å, 60.00 60.00 60.00°
Sites, in units of the cell vectors:
Ac1 0.000 0.000 0.000
Tm1 0.500 0.500 0.500
Ga1 0.750 0.750 0.750
Si1 0.250 0.250 0.250

Calculated values
Crystal system   cubic
Calculated volume   101.4 Å³ per cell
E_tot   -4.64 eV/atom
Total magnetic moment   0.00 μB/f.u.



Density functional theory data (PBE) for Ac2Zn4Ga3Si after structural relaxation.

Cell: 4.448 4.448 10.536 Å, 90.00 90.00 90.00°
Sites, in units of the cell vectors:
Ac1 0.000 0.500 0.248
Ac2 0.500 0.000 0.752
Zn1 0.000 0.000 0.500
Zn2 0.000 0.500 0.873
Zn3 0.500 0.000 0.127
Zn4 0.500 0.500 0.500
Ga1 0.000 0.000 0.000
Ga2 0.000 0.500 0.631
Ga3 0.500 0.000 0.369
Si1 0.500 0.500 0.000

Calculated values
Crystal system   tetragonal
Calculated volume   208.4 Å³ per cell
E_tot   -3.22 eV/atom
Total magnetic moment   0.00 μB/f.u.



Density functional theory data (PBE) for Ac2Zn4GaSi3 after structural relaxation.

Cell: 4.434 4.434 10.297 Å, 90.00 90.00 90.00°
Sites, in units of the cell vectors:
Ac1 0.000 0.500 0.249
Ac2 0.500 0.000 0.751
Zn1 0.000 0.000 0.500
Zn2 0.000 0.500 0.872
Zn3 0.500 0.000 0.128
Zn4 0.500 0.500 0.500
Ga1 0.500 0.500 0.000
Si1 0.000 0.000 0.000
Si2 0.000 0.500 0.630
Si3 0.500 0.000 0.370

Calculated values
Crystal system   tetragonal
Calculated volume   202.5 Å³ per cell
E_tot   -3.66 eV/atom
Total magnetic moment   0.00 μB/f.u.



Density functional theory data (PBE) for Ac2SmGa6 after structural relaxation.

Cell: 8.616 8.616 8.616 Å, 149.97 129.06 60.27°
Sites, in units of the cell vectors:
Ac1 0.155 0.155 0.000
Ac2 0.845 0.845 0.000
Sm1 0.500 0.000 0.500
Ga1 0.173 0.500 0.673
Ga2 0.186 0.354 0.832
Ga3 0.478 0.646 0.832
Ga4 0.522 0.354 0.168
Ga5 0.814 0.646 0.168
Ga6 0.827 0.500 0.327

Calculated values
Crystal system   orthorhombic
Calculated volume   246.5 Å³ per cell
Formation enthalpy at 0 K   -0.390 eV per atom
Total magnetic moment   0.00 μB/f.u.
Energy relative to the lowest polymorph listed for this composition   23.46 kJ/mol of atoms



- Among the records above, which one has the highest total magnetic moment?
  number 4